No. 1
This record from Alexandria describes SmScZn2 after structural relaxation. The functional is GGA-PBE.

Cell: 4.9616 4.9616 4.9616 Å, 60.00 60.00 60.00°
Closest atoms and distances in Å follow each position.
Sites, in units of the cell vectors:
Sc  0.0000  0.0000  0.0000  8 Zn 3.04
Zn  0.2500  0.2500  0.2500  4 Sc 3.04, 4 Sm 3.04
Zn  0.7500  0.7500  0.7500  4 Sc 3.04, 4 Sm 3.04
Sm  0.5000  0.5000  0.5000  8 Zn 3.04

excess energy over the best structure of this formula in the dataset: 6 meV/atom
magnetization: 0.002 μB per formula unit
formation energy from the elements: -0.324 eV/atom
N(E_F): 4.3 states/eV/cell
final energy: -3.72 eV/atom

---

No. 2
This record from Alexandria describes ZrMn2Au after structural relaxation. The functional is GGA-PBE.

Cell: 4.5899 4.5899 4.5899 Å, 60.00 60.00 60.00°
Closest atoms and distances in Å follow each position.
Sites, in units of the cell vectors:
Au  0.5000  0.5000  0.5000  4 Zr 2.81, 4 Mn 2.81
Mn  0.0000  0.0000  0.0000  4 Mn 2.81, 4 Zr 2.81
Mn  0.7500  0.7500  0.7500  4 Mn 2.81, 4 Au 2.81
Zr  0.2500  0.2500  0.2500  4 Mn 2.81, 4 Au 2.81

excess energy over the best structure of this formula in the dataset: 184 meV/atom
magnetization: 6.353 μB per formula unit
formation energy from the elements: 0.073 eV/atom
N(E_F): 5.9 states/eV/cell
final energy: -7.47 eV/atom

---

- Which of these has the highest N(E_F)?
  ZrMn2Au

---

- The lowest final energy belongs to which entry?
  ZrMn2Au